No. 1
This record from Alexandria describes CaZr2Ir after structural relaxation. The functional is PBE.

Its formation energy is -7 kJ/mol of atoms. As for the crystal system: trigonal. Its space-group type is R-3m, No. 166. The value obtained for the distance to the lowest polymorph of the same formula is 0.829 eV/f.u.

The structure in POSCAR format:
```
CaZr2Ir
1.0
-1.536 6.933 6.365
-1.944 3.950 8.459
1.407 5.290 7.809
Ca Ir Zr
1 1 2
direct
0.250 0.250 0.250 Ca
0.750 0.750 0.750 Ir
0.474 0.474 0.474 Zr
0.026 0.026 0.026 Zr
```


No. 2
This record from Alexandria describes Ca2ZrIr after structural relaxation. The functional is PBE.

Its formation energy is 23 kJ/mol of atoms. As for the crystal system: trigonal. Its space-group type is R-3m, No. 166. The value obtained for the distance to the lowest polymorph of the same formula is 2.069 eV/f.u.

The structure in POSCAR format:
```
Ca2ZrIr
1.0
-1.593 -9.125 4.963
1.435 -9.692 3.801
1.038 -8.077 6.642
Ca Zr Ir
2 1 1
direct
0.986 0.986 0.986 Ca
0.514 0.514 0.514 Ca
0.750 0.750 0.750 Zr
0.250 0.250 0.250 Ir
```


No. 3
This record from Alexandria describes Ca2ZrIr after structural relaxation. The functional is PBE.

Its formation energy is 15 kJ/mol of atoms. As for the crystal system: tetragonal. Its space-group type is I-42d, No. 122. The value obtained for the distance to the lowest polymorph of the same formula is 1.736 eV/f.u.

The structure in POSCAR format:
```
Ca2ZrIr
1.0
-5.148 6.976 -5.096
4.921 -2.507 -8.404
-1.909 0.515 -7.289
Ir Zr Ca
2 2 4
direct
0.000 0.000 0.000 Ir
0.750 0.250 0.500 Ir
0.250 0.750 0.500 Zr
0.500 0.500 0.000 Zr
0.375 0.245 0.750 Ca
0.995 0.625 0.250 Ca
0.755 0.125 0.250 Ca
0.875 0.005 0.750 Ca
```


No. 4
This record from Alexandria describes Ca2Zr2Ir after structural relaxation. The functional is PBE.

Its formation energy is -4 kJ/mol of atoms. As for the crystal system: tetragonal. Its space-group type is P4/mbm, No. 127. The value obtained for the distance to the lowest polymorph of the same formula is 0.000 eV/f.u.

The structure in POSCAR format:
```
Ca2Zr2Ir
1.0
6.869 0.000 0.000
0.000 6.869 0.000
0.000 0.000 5.584
Ir Zr Ca
2 4 4
direct
0.000 0.000 0.000 Ir
0.500 0.500 0.000 Ir
0.349 0.849 0.000 Zr
0.151 0.349 0.000 Zr
0.849 0.651 0.000 Zr
0.651 0.151 0.000 Zr
0.676 0.824 0.500 Ca
0.324 0.176 0.500 Ca
0.824 0.324 0.500 Ca
0.176 0.676 0.500 Ca
```


No. 5
This record from Alexandria describes CaZr2Ir after structural relaxation. The functional is PBE.

Its formation energy is -17 kJ/mol of atoms. As for the crystal system: orthorhombic. Its space-group type is Imm2, No. 44. The value obtained for the distance to the lowest polymorph of the same formula is 0.440 eV/f.u.

The structure in POSCAR format:
```
CaZr2Ir
1.0
6.015 0.015 -0.069
4.983 3.369 -0.069
2.057 0.633 4.417
Ir Ca Zr
1 1 2
direct
0.265 0.265 0.235 Ir
0.535 0.535 0.466 Ca
0.747 0.747 0.753 Zr
0.953 0.953 0.047 Zr
```


No. 6
This record from Alexandria describes K2Ca after structural relaxation. The functional is PBE.

Its formation energy is 13 kJ/mol of atoms. As for the crystal system: monoclinic. Its space-group type is Cm, No. 8. The value obtained for the distance to the lowest polymorph of the same formula is 0.025 eV/f.u.

The structure in POSCAR format:
```
K2Ca
1.0
3.084 -2.518 7.418
3.875 -5.768 4.753
10.319 2.541 -0.038
K Ca
4 2
direct
0.938 0.938 0.606 K
0.664 0.664 0.667 K
0.614 0.614 0.275 K
0.279 0.279 0.953 K
0.346 0.346 0.311 Ca
0.991 0.991 0.021 Ca
```


No. 7
This record from Alexandria describes KCa3 after structural relaxation. The functional is PBE.

Its formation energy is 16 kJ/mol of atoms. As for the crystal system: tetragonal. Its space-group type is I4/mmm, No. 139.

The structure in POSCAR format:
```
KCa3
1.0
5.700 0.000 0.000
0.000 5.700 0.000
-2.850 -2.850 5.777
Ca K
3 1
direct
0.250 0.750 0.500 Ca
0.500 0.500 0.000 Ca
0.750 0.250 0.500 Ca
0.000 0.000 0.000 K
```


No. 8
This record from Alexandria describes K2Ca after structural relaxation. The functional is PBE.

Its formation energy is 41 kJ/mol of atoms. As for the crystal system: cubic. Its space-group type is Pa-3, No. 205. The value obtained for the distance to the lowest polymorph of the same formula is 0.882 eV/f.u.

The structure in POSCAR format:
```
K2Ca
1.0
9.680 0.000 0.000
0.000 9.680 0.000
0.000 0.000 9.680
K Ca
8 4
direct
0.366 0.366 0.634 K
0.134 0.866 0.634 K
0.634 0.866 0.866 K
0.866 0.134 0.366 K
0.634 0.634 0.366 K
0.866 0.366 0.866 K
0.134 0.634 0.134 K
0.366 0.134 0.134 K
0.500 0.500 0.000 Ca
0.000 0.000 0.000 Ca
0.000 0.500 0.500 Ca
0.500 0.000 0.500 Ca
```


No. 9
This record from Alexandria describes K3Ca after structural relaxation. The functional is PBE.

Its formation energy is 12 kJ/mol of atoms. As for the crystal system: orthorhombic. Its space-group type is Cmcm, No. 63.

The structure in POSCAR format:
```
K3Ca
1.0
1.062 6.211 5.957
-7.189 -4.266 2.305
3.769 -4.295 3.806
K Ca
6 2
direct
0.149 0.149 0.750 K
0.851 0.851 0.250 K
0.627 0.119 0.750 K
0.119 0.627 0.750 K
0.373 0.881 0.250 K
0.881 0.373 0.250 K
0.404 0.404 0.250 Ca
0.596 0.596 0.750 Ca
```


No. 10
This record from Alexandria describes KCa3 after structural relaxation. The functional is PBE.

Its formation energy is 9 kJ/mol of atoms. As for the crystal system: tetragonal. Its space-group type is P4/mmm, No. 123.

The structure in POSCAR format:
```
KCa3
1.0
-3.408 1.083 1.668
1.335 -1.207 3.512
4.553 11.112 2.088
Ca K
3 1
direct
0.500 0.500 0.250 Ca
0.000 0.000 0.472 Ca
0.000 0.000 0.028 Ca
0.500 0.500 0.750 K
```


No. 11
This record from Alexandria describes KCa3 after structural relaxation. The functional is PBE.

Its formation energy is 16 kJ/mol of atoms. As for the crystal system: cubic. Its space-group type is Pm-3m, No. 221.

The structure in POSCAR format:
```
KCa3
1.0
-3.963 -2.226 -3.489
-2.750 -2.194 4.523
-3.093 4.803 0.449
Ca K
3 1
direct
0.000 0.500 0.500 Ca
0.500 0.000 0.500 Ca
0.500 0.500 0.000 Ca
0.000 0.000 0.000 K
```


No. 12
This record from Alexandria describes K3Ca5 after structural relaxation. The functional is PBE.

Its formation energy is 27 kJ/mol of atoms. As for the crystal system: hexagonal. Its space-group type is P6_3/mcm, No. 193.

The structure in POSCAR format:
```
K3Ca5
1.0
-0.484 9.477 -6.132
2.363 -9.851 -5.002
-7.205 -1.130 -1.178
K Ca
6 10
direct
0.595 0.000 0.250 K
0.405 0.000 0.750 K
0.000 0.595 0.250 K
0.405 0.405 0.250 K
0.595 0.595 0.750 K
0.000 0.405 0.750 K
0.209 0.209 0.750 Ca
0.333 0.667 0.500 Ca
0.000 0.791 0.750 Ca
0.667 0.333 0.000 Ca
0.791 0.000 0.750 Ca
0.000 0.209 0.250 Ca
0.791 0.791 0.250 Ca
0.209 0.000 0.250 Ca
0.333 0.667 0.000 Ca
0.667 0.333 0.500 Ca
```